Entry 1:
A plane-wave DFT calculation with SCAN was carried out for a PBEsol-optimized structure of Fe5O2F8.

Geometry as CIF:
```
data_Fe5O2F8
_symmetry_space_group_name_H-M 'P 1 21/c 1'
_symmetry_Int_Tables_number 14
_cell_length_a 4.781
_cell_length_b 4.777
_cell_length_c 15.869
_cell_angle_alpha 90.00
_cell_angle_beta 107.28
_cell_angle_gamma 90.00
loop_
_symmetry_equiv_pos_as_xyz
'x,y,z'
'-x,-y,-z'
'-x,y+1/2,-z+1/2'
'x,-y+1/2,z+1/2'
loop_
_atom_site_label
_atom_site_fract_x
_atom_site_fract_y
_atom_site_fract_z
Fe1 0.000 0.000 0.000
Fe2 0.186 0.004 0.190
Fe3 0.369 0.533 0.899
O1 0.093 0.693 0.402
F1 0.095 0.194 0.296
F2 0.301 0.201 0.500
F3 0.324 0.723 0.600
F4 0.486 0.701 0.794
```

Computed properties:
- total magnetization (μB per formula unit) = 22.000
- calculated total energy (eV/cell) = -328.8
- formation energy from raw total energies (eV/f.u.) = -32.98

Entry 2:
A plane-wave DFT calculation with SCAN was carried out for a PBEsol-optimized structure of FeOF.

Geometry as CIF:
```
data_FeOF
_symmetry_space_group_name_H-M 'I 41/a'
_symmetry_Int_Tables_number 88
_cell_length_a 9.208
_cell_length_b 9.208
_cell_length_c 5.735
_cell_angle_alpha 90.00
_cell_angle_beta 90.00
_cell_angle_gamma 90.00
loop_
_symmetry_equiv_pos_as_xyz
'x,y,z'
'-x,-y,-z'
'-y+3/4,x+1/4,z+1/4'
'y+3/4,-x+1/4,-z+1/4'
'-x+1/2,-y,z+1/2'
'x+1/2,y,-z+1/2'
'y+3/4,-x+3/4,z+3/4'
'-y+3/4,x+3/4,-z+3/4'
'x+1/2,y+1/2,z+1/2'
'-x+1/2,-y+1/2,-z+1/2'
'-y+1/4,x+3/4,z+3/4'
'y+1/4,-x+3/4,-z+3/4'
'-x,-y+1/2,z'
'x,y+1/2,-z'
'y+1/4,-x+1/4,z+1/4'
'-y+1/4,x+1/4,-z+1/4'
loop_
_atom_site_label
_atom_site_fract_x
_atom_site_fract_y
_atom_site_fract_z
Fe1 0.007 0.495 0.220
O1 0.105 0.104 0.004
F1 0.098 0.098 0.502
```

Computed properties:
- total magnetization (μB per formula unit) = 4.002
- calculated total energy (eV/cell) = -537.0
- formation energy from raw total energies (eV/f.u.) = -5.66

Entry 3:
A plane-wave DFT calculation with SCAN was carried out for a PBEsol-optimized structure of FeOF.

Geometry as CIF:
```
data_FeOF
_symmetry_space_group_name_H-M 'R 3'
_symmetry_Int_Tables_number 146
_symmetry_space_group_name_Hall 'R 3'
_cell_length_a 5.0384
_cell_length_b 5.0384
_cell_length_c 13.7446
_cell_angle_alpha 90.00
_cell_angle_beta 90.00
_cell_angle_gamma 120.00
loop_
_atom_site_label
_atom_site_fract_x
_atom_site_fract_y
_atom_site_fract_z
Fe1 0.0000 0.0000 0.0000
Fe2 0.0000 0.0000 0.2210
Fe3 0.0000 0.0000 0.6835
O1 0.0050 0.3489 0.9479
F1 0.0753 0.7237 0.7751
```

Computed properties:
- total magnetization (μB per formula unit) = 1.666
- calculated total energy (eV/cell) = -306.8
- formation energy from raw total energies (eV/f.u.) = -6.19

Which of these has the lowest total magnetization? number 3

Which value of total magnetization does entry 2 give? 4.002 μB per formula unit

Among the records above, which one has the lowest calculated total energy? number 2

The lowest formation energy from raw total energies belongs to which entry? Fe5O2F8